Record 1
Density functional theory data (PBE) for a geometry-optimized LaPr2Eu structure.

Computed properties:
offset from the most stable computed form = 21.8 meV per atom
size of the total moment = 7.34 μB/f.u.
DFT formation energy = 1.2 kcal/mol of atoms
theoretical density = 6.41 Mg/m³
DFT total energy = -24.5 eV for the cell shown
space-group type = P4/mmm

Lattice parameters (Å, degrees): 5.3344 5.2744 5.2744 90.00 90.00 90.00
Closest atoms and distances in Å follow each position.
Atoms (fractional coordinates):
Eu  0.5000  0.5000  0.5000  4 La 3.73, 8 Pr 3.75
Pr  0.0000  0.0000  0.5000  4 Pr 3.73, 4 Eu 3.75, 4 La 3.75
Pr  0.0000  0.5000  0.0000  4 Pr 3.73, 4 Eu 3.75, 4 La 3.75
La  0.5000  0.0000  0.0000  4 Eu 3.73, 8 Pr 3.75

=====

Record 2
Density functional theory data (PBE) for a geometry-optimized In12Bi3Cl5 structure.

Computed properties:
size of the total moment = 0.00 μB/f.u.
theoretical density = 4.68 Mg/m³
DFT total energy = -229.4 eV for the cell shown
space-group type = Ia-3d
raw formation energy = -0.180 eV per atom

Lattice parameters (Å, degrees): 15.8990 15.8990 15.8990 109.47 109.47 109.47
Closest atoms and distances in Å follow each position.
Atoms (fractional coordinates):
Bi  0.7500  0.3750  0.1250  8 In 3.32-3.39
Bi  0.8750  0.7500  0.1250  8 In 3.32-3.39
Bi  0.3750  0.7500  0.6250  8 In 3.32-3.39
Bi  0.2500  0.1250  0.3750  8 In 3.32-3.39
Bi  0.8750  0.1250  0.2500  8 In 3.32-3.39
Bi  0.3750  0.6250  0.2500  8 In 3.32-3.39
Bi  0.6250  0.3750  0.7500  8 In 3.32-3.39
Bi  0.1250  0.8750  0.7500  8 In 3.32-3.39
Bi  0.7500  0.8750  0.6250  8 In 3.32-3.39
Bi  0.6250  0.2500  0.3750  8 In 3.32-3.39
Bi  0.1250  0.2500  0.8750  8 In 3.32-3.39
Bi  0.2500  0.6250  0.8750  8 In 3.32-3.39
Cl  0.1250  0.3750  0.2500  4 In 2.99
Cl  0.0000  0.5000  0.0000  6 In 3.10
Cl  0.0000  0.0000  0.0000  6 In 3.10
Cl  0.3750  0.2500  0.1250  4 In 2.99
Cl  0.5000  0.0000  0.5000  6 In 3.10
Cl  0.5000  0.5000  0.0000  6 In 3.10
Cl  0.1250  0.7500  0.3750  4 In 2.99
Cl  0.7500  0.1250  0.8750  4 In 2.99
Cl  0.7500  0.6250  0.3750  4 In 2.99
Cl  0.3750  0.1250  0.7500  4 In 2.99
Cl  0.6250  0.8750  0.2500  4 In 2.99
Cl  0.5000  0.5000  0.5000  6 In 3.10
Cl  0.5000  0.0000  0.0000  6 In 3.10
Cl  0.0000  0.0000  0.5000  6 In 3.10
Cl  0.2500  0.3750  0.6250  4 In 2.99
Cl  0.2500  0.8750  0.1250  4 In 2.99
Cl  0.0000  0.5000  0.5000  6 In 3.10
Cl  0.8750  0.2500  0.6250  4 In 2.99
Cl  0.6250  0.7500  0.8750  4 In 2.99
Cl  0.8750  0.6250  0.7500  4 In 2.99
In  0.7218  0.1417  0.0555  2 Cl 2.99-3.10, 1 Bi 3.32
In  0.3338  0.5555  0.4138  2 Cl 2.99-3.10, 1 Bi 3.32
In  0.9445  0.3583  0.2782  2 Cl 2.99-3.10, 1 Bi 3.32
In  0.5555  0.2218  0.1417  2 Cl 2.99-3.10, 1 Bi 3.32
In  0.5801  0.7218  0.6662  2 Cl 2.99-3.10, 1 Bi 3.32
In  0.9445  0.5862  0.1662  2 Cl 2.99-3.10, 1 Bi 3.32
In  0.3338  0.7782  0.4199  2 Cl 2.99-3.10, 1 Bi 3.32
In  0.0862  0.9199  0.1417  2 Cl 2.99-3.10, 1 Bi 3.32
In  0.5862  0.9445  0.6662  2 Cl 2.99-3.10, 1 Bi 3.32
In  0.7218  0.5801  0.1662  2 Cl 2.99-3.10, 1 Bi 3.32
In  0.7782  0.4445  0.3583  2 Cl 2.99-3.10, 1 Bi 3.32
In  0.8338  0.9138  0.0555  2 Cl 2.99-3.10, 1 Bi 3.32
In  0.1417  0.7218  0.5555  2 Cl 2.99-3.10, 1 Bi 3.32
In  0.3583  0.4138  0.0801  2 Cl 2.99-3.10, 1 Bi 3.32
In  0.0801  0.9138  0.3583  2 Cl 2.99-3.10, 1 Bi 3.32
In  0.4199  0.1417  0.5862  2 Cl 2.99-3.10, 1 Bi 3.32
In  0.0801  0.1662  0.2218  2 Cl 2.99-3.10, 1 Bi 3.32
In  0.4445  0.6662  0.0862  2 Cl 2.99-3.10, 1 Bi 3.32
In  0.8338  0.9199  0.2782  2 Cl 2.99-3.10, 1 Bi 3.32
In  0.1417  0.4199  0.0862  2 Cl 2.99-3.10, 1 Bi 3.32
In  0.3583  0.9445  0.7782  2 Cl 2.99-3.10, 1 Bi 3.32
In  0.5862  0.6417  0.4199  2 Cl 2.99-3.10, 1 Bi 3.32
In  0.9138  0.8338  0.5555  2 Cl 2.99-3.10, 1 Bi 3.32
In  0.7782  0.3338  0.9199  2 Cl 2.99-3.10, 1 Bi 3.32
In  0.4138  0.3583  0.5801  2 Cl 2.99-3.10, 1 Bi 3.32
In  0.0862  0.1662  0.4445  2 Cl 2.99-3.10, 1 Bi 3.32
In  0.2218  0.6662  0.0801  2 Cl 2.99-3.10, 1 Bi 3.32
In  0.1662  0.0801  0.7218  2 Cl 2.99-3.10, 1 Bi 3.32
In  0.6417  0.0555  0.2218  2 Cl 2.99-3.10, 1 Bi 3.32
In  0.8583  0.5801  0.9138  2 Cl 2.99-3.10, 1 Bi 3.32
In  0.5555  0.3338  0.9138  2 Cl 2.99-3.10, 1 Bi 3.32
In  0.5801  0.8583  0.4138  2 Cl 2.99-3.10, 1 Bi 3.32
In  0.9199  0.8338  0.7782  2 Cl 2.99-3.10, 1 Bi 3.32
In  0.9199  0.0862  0.6417  2 Cl 2.99-3.10, 1 Bi 3.32
In  0.8583  0.2782  0.4445  2 Cl 2.99-3.10, 1 Bi 3.32
In  0.1662  0.0862  0.9445  2 Cl 2.99-3.10, 1 Bi 3.32
In  0.6417  0.5862  0.9199  2 Cl 2.99-3.10, 1 Bi 3.32
In  0.4138  0.0555  0.3338  2 Cl 2.99-3.10, 1 Bi 3.32
In  0.2782  0.4199  0.8338  2 Cl 2.99-3.10, 1 Bi 3.32
In  0.2218  0.5555  0.6417  2 Cl 2.99-3.10, 1 Bi 3.32
In  0.9138  0.0801  0.8583  2 Cl 2.99-3.10, 1 Bi 3.32
In  0.6662  0.2218  0.5801  2 Cl 2.99-3.10, 1 Bi 3.32
In  0.4445  0.7782  0.8583  2 Cl 2.99-3.10, 1 Bi 3.32
In  0.0555  0.4138  0.8338  2 Cl 2.99-3.10, 1 Bi 3.32
In  0.4199  0.2782  0.3338  2 Cl 2.99-3.10, 1 Bi 3.32
In  0.0555  0.6417  0.7218  2 Cl 2.99-3.10, 1 Bi 3.32
In  0.6662  0.4445  0.5862  2 Cl 2.99-3.10, 1 Bi 3.32
In  0.2782  0.8583  0.9445  2 Cl 2.99-3.10, 1 Bi 3.32

=====

Record 3
Density functional theory data (PBE) for a geometry-optimized NdLuMnCu structure.

Computed properties:
size of the total moment = 3.06 μB/f.u.
DFT formation energy = 1.4 kcal/mol of atoms
theoretical density = 8.29 Mg/m³
DFT total energy = -22.3 eV for the cell shown
space-group type = F-43m

Lattice parameters (Å, degrees): 4.9858 4.9858 4.9858 60.00 60.00 60.00
Closest atoms and distances in Å follow each position.
Atoms (fractional coordinates):
Mn  0.7500  0.7500  0.7500  4 Lu 3.05, 4 Nd 3.05
Lu  0.5000  0.5000  0.5000  4 Mn 3.05, 4 Cu 3.05
Nd  0.0000  0.0000  0.0000  4 Cu 3.05, 4 Mn 3.05
Cu  0.2500  0.2500  0.2500  4 Lu 3.05, 4 Nd 3.05

=====

Record 4
Density functional theory data (PBE) for a geometry-optimized SmB2H8 structure.

Computed properties:
offset from the most stable computed form = 65.5 meV per atom
size of the total moment = 0.00 μB/f.u.
theoretical density = 2.99 Mg/m³
DFT total energy = -46.9 eV for the cell shown
space-group type = C2/m

Lattice parameters (Å, degrees): 4.0619 5.4422 5.4422 61.33 74.11 74.11
Closest atoms and distances in Å follow each position.
Atoms (fractional coordinates):
Sm  0.0000  0.0000  0.0000  6 H 2.21-2.31
B  0.6808  0.7813  0.7813  4 H 1.23-1.25
B  0.3192  0.2187  0.2187  4 H 1.23-1.25
H  0.2725  0.3366  0.9701  1 B 1.23
H  0.7275  0.0299  0.6634  1 B 1.23
H  0.3849  0.7713  0.7713  1 B 1.23
H  0.6151  0.2287  0.2287  1 B 1.23
H  0.2725  0.9701  0.3366  1 B 1.23
H  0.7275  0.6634  0.0299  1 B 1.23
H  0.8652  0.6463  0.6463  1 B 1.25
H  0.1348  0.3537  0.3537  1 B 1.25

=====

Record 5
Density functional theory data (PBE) for a geometry-optimized ZrCSe2N structure.

Computed properties:
offset from the most stable computed form = 814.6 meV per atom
size of the total moment = 2.04 μB/f.u.
theoretical density = 3.95 Mg/m³
DFT total energy = -26.2 eV for the cell shown
space-group type = P4/mmm
raw formation energy = 1.381 eV per atom

Lattice parameters (Å, degrees): 5.2840 5.2840 4.1393 90.00 90.00 90.00
Closest atoms and distances in Å follow each position.
Atoms (fractional coordinates):
C  0.5000  0.5000  0.5000  8 Se 3.36, 4 N 3.74
Se  0.0000  0.5000  0.0000  2 Zr 2.64
Se  0.5000  0.0000  0.0000  2 Zr 2.64
Zr  0.0000  0.0000  0.0000  2 N 2.07
N  0.0000  0.0000  0.5000  2 Zr 2.07

=====

Record 6
Density functional theory data (PBE) for a geometry-optimized CeTlPt structure.

Computed properties:
size of the total moment = 0.58 μB/f.u.
DFT formation energy = -15.8 kcal/mol of atoms
theoretical density = 12.57 Mg/m³
DFT total energy = -32.8 eV for the cell shown
space-group type = P6_3/mmc

Lattice parameters (Å, degrees): 5.1572 5.1564 6.1920 90.00 90.00 120.00
Closest atoms and distances in Å follow each position.
Atoms (fractional coordinates):
Ce  0.3334  0.6668  0.2500  5 Pt 2.98-3.10
Ce  0.6666  0.3332  0.7500  5 Pt 2.98-3.10
Tl  0.0000  0.0000  0.0000  2 Tl 3.10, 6 Pt 3.36, 6 Ce 3.36
Tl  0.0000  0.0000  0.5000  2 Tl 3.10, 6 Pt 3.36, 6 Ce 3.36
Pt  0.6667  0.3334  0.2500  5 Ce 2.98-3.10
Pt  0.3333  0.6666  0.7500  5 Ce 2.98-3.10

=====

Record 7
Density functional theory data (PBE) for a geometry-optimized CaAg2Os structure.

Computed properties:
offset from the most stable computed form = 196.3 meV per atom
size of the total moment = 1.98 μB/f.u.
DFT formation energy = 14.7 kcal/mol of atoms
theoretical density = 9.66 Mg/m³
DFT total energy = -16.4 eV for the cell shown
space-group type = P4/mmm

Lattice parameters (Å, degrees): 2.9942 2.9942 8.5499 90.00 90.00 89.97
Closest atoms and distances in Å follow each position.
Atoms (fractional coordinates):
Ca  0.5000  0.5000  0.2500  4 Ca 2.99, 8 Ag 3.16
Os  0.5000  0.5000  0.7500  8 Ag 2.86, 4 Os 2.99
Ag  0.0000  0.0000  0.9750  4 Os 2.86, 4 Ag 2.99, 4 Ca 3.16
Ag  0.0000  0.0000  0.5250  4 Os 2.86, 4 Ag 2.99, 4 Ca 3.16

=====

Record 8
Density functional theory data (PBE) for a geometry-optimized Mg2MnP structure.

Computed properties:
size of the total moment = 0.00 μB/f.u.
DFT formation energy = -4.3 kcal/mol of atoms
theoretical density = 3.51 Mg/m³
DFT total energy = -18.5 eV for the cell shown
space-group type = P4mm

Lattice parameters (Å, degrees): 2.9918 2.9918 7.1163 90.00 90.00 90.00
Closest atoms and distances in Å follow each position.
Atoms (fractional coordinates):
Mg  0.0000  0.0000  0.9502  1 Mn 2.75, 4 P 2.82, 4 Mg 2.99
Mg  0.5000  0.5000  0.2986  1 P 2.77, 4 Mn 2.83, 4 Mg 2.99
Mn  0.0000  0.0000  0.5632  4 P 2.29
P  0.5000  0.5000  0.6880  4 Mn 2.29

=====

Record 9
Density functional theory data (PBE) for a geometry-optimized K4Nd3MnTe8 structure.

Computed properties:
size of the total moment = 4.04 μB/f.u.
theoretical density = 4.72 Mg/m³
DFT total energy = -71.3 eV for the cell shown
space-group type = R-3m
raw formation energy = -1.141 eV per atom

Lattice parameters (Å, degrees): 9.0544 9.7731 9.0554 117.60 120.00 90.00
Closest atoms and distances in Å follow each position.
Atoms (fractional coordinates):
K  0.5000  0.0000  0.0000  6 Te 3.72
K  0.5000  0.0000  0.5000  6 Te 3.50-3.52
K  0.0000  0.0000  0.0000  6 Te 3.50-3.52
K  0.0000  0.0000  0.5000  6 Te 3.50-3.52
Nd  0.5000  0.5000  0.0000  6 Te 3.18-3.19
Nd  0.5000  0.5000  0.5000  6 Te 3.18-3.19
Nd  0.0000  0.5000  0.5000  6 Te 3.18-3.19
Mn  0.0000  0.5000  0.0000  6 Te 2.95
Te  0.2225  0.7032  0.9807  1 Mn 2.95, 2 Nd 3.19
Te  0.2227  0.7033  0.4454  1 Mn 2.95, 2 Nd 3.19
Te  0.2606  0.2817  0.5212  3 Nd 3.18, 3 K 3.50
Te  0.7582  0.7032  0.9807  1 Mn 2.95, 2 Nd 3.19
Te  0.2418  0.2968  0.0193  1 Mn 2.95, 2 Nd 3.19
Te  0.7394  0.7183  0.4788  3 Nd 3.18, 3 K 3.50
Te  0.7773  0.2967  0.5546  1 Mn 2.95, 2 Nd 3.19
Te  0.7775  0.2968  0.0193  1 Mn 2.95, 2 Nd 3.19

=====

Record 10
Density functional theory data (PBE) for a geometry-optimized Dy3Be2Ni7 structure.

Computed properties:
size of the total moment = 0.00 μB/f.u.
DFT formation energy = -10.9 kcal/mol of atoms
theoretical density = 9.16 Mg/m³
DFT total energy = -67.4 eV for the cell shown
space-group type = R-3m

Lattice parameters (Å, degrees): 5.0444 5.0444 8.0835 71.82 71.82 60.00
Closest atoms and distances in Å follow each position.
Atoms (fractional coordinates):
Dy  0.0000  0.0000  0.0000  6 Be 2.91, 12 Ni 3.04, 2 Dy 3.18
Dy  0.8594  0.8594  0.4217  12 Ni 2.92-3.03, 4 Dy 3.14-3.18
Dy  0.1406  0.1406  0.5783  12 Ni 2.92-3.03, 4 Dy 3.14-3.18
Be  0.6671  0.6671  0.9988  6 Ni 2.24-2.25
Be  0.3329  0.3329  0.0012  6 Ni 2.24-2.25
Ni  0.5000  0.5000  0.5000  6 Ni 2.52
Ni  0.9233  0.4253  0.2262  2 Be 2.24-2.25
Ni  0.4253  0.9233  0.2262  2 Be 2.24-2.25
Ni  0.4253  0.4253  0.2262  2 Be 2.24-2.25
Ni  0.0767  0.5747  0.7738  2 Be 2.24-2.25
Ni  0.5747  0.5747  0.7738  2 Be 2.24-2.25
Ni  0.5747  0.0767  0.7738  2 Be 2.24-2.25